! BaN2F, relaxed, DFT PBE; values from VASP
! V	71	Å³/cell
! energy relative to the elements, uncorrected	243	kJ/mol of formula units
! M_tot	5.00	μB per cell
&SYSTEM
  ibrav = 0, nat = 4, ntyp = 3
/
ATOMIC_SPECIES
F 19.00 F.upf
Ba 137.33 Ba.upf
N 14.01 N.upf
CELL_PARAMETERS angstrom
0.000 3.285 3.285
3.285 0.000 3.285
3.285 3.285 0.000
ATOMIC_POSITIONS angstrom
F 0.000 0.000 0.000
Ba 3.285 3.285 3.285
N 1.642 1.642 1.642
N 4.927 4.927 4.927


! Ba3NF, relaxed, DFT PBE; values from VASP
! V	174	Å³/cell
! energy relative to the elements, uncorrected	-361	kJ/mol of formula units
! M_tot	1.06	μB per cell
&SYSTEM
  ibrav = 0, nat = 5, ntyp = 3
/
ATOMIC_SPECIES
N 14.01 N.upf
Ba 137.33 Ba.upf
F 19.00 F.upf
CELL_PARAMETERS angstrom
-4.643 2.731 1.447
-2.126 -0.926 -5.073
-2.244 -4.775 1.812
ATOMIC_POSITIONS angstrom
N 0.000 0.000 0.000
Ba -1.063 -0.463 -2.537
F -4.506 -1.485 -0.907
Ba -1.122 -2.387 0.906
Ba -2.322 1.366 0.724


! BaNF6, relaxed, DFT PBE; values from VASP
! V	108	Å³/cell
! energy relative to the elements, uncorrected	-1042	kJ/mol of formula units
! M_tot	0.63	μB per cell
&SYSTEM
  ibrav = 0, nat = 8, ntyp = 3
/
ATOMIC_SPECIES
Ba 137.33 Ba.upf
F 19.00 F.upf
N 14.01 N.upf
CELL_PARAMETERS angstrom
-5.168 -0.128 0.049
-2.504 -4.070 -1.973
-2.466 -3.472 3.516
ATOMIC_POSITIONS angstrom
Ba -5.069 -3.835 0.796
F -6.212 -6.509 0.989
F -3.926 -1.161 0.604
F -7.628 -4.413 2.064
F -1.178 -1.093 0.578
F -2.510 -3.257 -0.472
F -8.960 -6.577 1.015
N 0.000 0.000 0.000


In the order shown, the computed polymorph energy (0 for the lowest one) values come out to 2202, 555, 0 meV per atom.